[1]
# Dy2YC (PBE, relaxed)
# Energy = -0.4629 Ry/atom
# Total magnetization = 0.44 μB/f.u.
# Energy of formation from the pure elements = -0.08 eV/atom
data_Dy2YC
_chemical_formula_sum 'Dy6 Y3 C3'
_cell_length_a 3.5393
_cell_length_b 3.5393
_cell_length_c 28.9030
_cell_angle_alpha 90.00
_cell_angle_beta 90.00
_cell_angle_gamma 120.00
_space_group_name_H-M_alt 'R -3 m'
_space_group_IT_number 166
_space_group_name_Hall '-R 3 2"'
loop_
_atom_site_label
_atom_site_fract_x
_atom_site_fract_y
_atom_site_fract_z
_atom_site_occupancy
Dy1 0.0000 0.0000 0.1202 1
Y1 0.0000 0.0000 0.0000 1
C1 0.0000 0.0000 0.5000 1

[2]
# Dy3YC2 (PBE, relaxed)
# Energy = -0.4935 Ry/atom
# Total magnetization = 0.46 μB/f.u.
# Energy of formation from the pure elements = -0.26 eV/atom
data_Dy3YC2
_chemical_formula_sum 'Dy6 Y2 C4'
_cell_length_a 7.1540
_cell_length_b 7.1540
_cell_length_c 6.2681
_cell_angle_alpha 90.00
_cell_angle_beta 90.00
_cell_angle_gamma 120.00
_space_group_name_H-M_alt 'P -3 m 1'
_space_group_IT_number 164
_space_group_name_Hall '-P 3 2"'
loop_
_atom_site_label
_atom_site_fract_x
_atom_site_fract_y
_atom_site_fract_z
_atom_site_occupancy
Dy1 0.1668 0.3336 0.2151 1
Y1 0.3333 0.6667 0.7828 1
C1 0.0000 0.0000 0.0000 1
C2 0.0000 0.5000 0.0000 1